[1]
An optimized crystal structure of Cu2Ag3. Source: OQMD, functional PBE.

As for the uncorrected energy: -3.086 eV/atom. The distance to the lowest polymorph of the same formula comes out at 62.8 meV per atom. The symmetry is C2/c. The mass density is 9.57 g/cm3. The calculation puts the energy of formation from the pure elements at 0.095 eV per atom.

a b c (Å): 7.3822 7.3822 4.8946
angles (deg): 96.51 96.51 141.39
Fractional positions:
Ag (0.9532, 0.0468, 0.2500)
Ag (0.7462, 0.2538, 0.2500)
Ag (0.3547, 0.6453, 0.2500)
Ag (0.6453, 0.3547, 0.7500)
Ag (0.2538, 0.7462, 0.7500)
Ag (0.0468, 0.9532, 0.7500)
Cu (0.4500, 0.5500, 0.7500)
Cu (0.8522, 0.1478, 0.7500)
Cu (0.1478, 0.8522, 0.2500)
Cu (0.5500, 0.4500, 0.2500)

---

[2]
An optimized crystal structure of DyOs5. Source: OQMD, functional PBE.

As for the uncorrected energy: -9.745 eV/atom. The distance to the lowest polymorph of the same formula comes out at 126.9 meV per atom. The symmetry is F-43m. The mass density is 18.61 g/cm3. The calculation puts the energy of formation from the pure elements at 0.377 eV per atom.

a b c (Å): 5.1989 5.1989 5.1989
angles (deg): 60.00 60.00 60.00
Fractional positions:
Dy (0.0000, 0.0000, 0.0000)
Os (0.3755, 0.3755, 0.8735)
Os (0.7500, 0.7500, 0.7500)
Os (0.8735, 0.3755, 0.3755)
Os (0.3755, 0.3755, 0.3755)
Os (0.3755, 0.8735, 0.3755)

---

[3]
An optimized crystal structure of Fe3C. Source: OQMD, functional PBE.

As for the uncorrected energy: -8.389 eV/atom. The symmetry is I-4. The mass density is 8.01 g/cm3.

a b c (Å): 6.3133 6.3133 6.3133
angles (deg): 96.36 96.36 141.11
Site moments in Bohr magnetons follow the coordinates.
Fractional positions:
C (0.9594, 0.7506, 0.2104)  -0.11
C (0.2494, 0.4599, 0.2088)  -0.11
C (0.2510, 0.0406, 0.7912)  -0.11
C (0.5401, 0.7490, 0.7896)  -0.11
Fe (0.7501, 0.8917, 0.1409)  1.79
Fe (0.2468, 0.7461, 0.8943)  1.80
Fe (0.4157, 0.9157, 0.3071)  2.12
Fe (0.2539, 0.1482, 0.5007)  1.81
Fe (0.1083, 0.2493, 0.8585)  1.80
Fe (0.3908, 0.2499, 0.1415)  1.80
Fe (0.8914, 0.5843, 0.5000)  2.13
Fe (0.0843, 0.3914, 0.5000)  2.13
Fe (0.6086, 0.1086, 0.6929)  2.12
Fe (0.7507, 0.6092, 0.8591)  1.81
Fe (0.8518, 0.3525, 0.1057)  1.82
Fe (0.6475, 0.7532, 0.4993)  1.82